Compound: Re2TcIr
Source: Alexandria via LeMat-Bulk
Functional: PBE
Structure: optimized geometry

```
Re2TcIr
1.0
-2.280 1.966 1.291
-2.306 -2.224 -0.684
0.798 -2.371 5.020
Ir Re Tc
1 2 1
Cartesian
-1.692 -1.912 4.079
0.789 -2.342 4.959
-2.093 -0.724 1.563
0.407 -1.208 2.557
```

Calculated values
**Formation energy**: 278 meV/atom
**Calculated volume**: 15.050 Å³/atom